Entry 1:
## Zr2CoAs (PBE)

Data for a relaxed structure of Zr2CoAs.

The structure in CIF format:
```
data_Zr2CoAs
_cell_length_a 6.419
_cell_length_b 3.699
_cell_length_c 6.791
_cell_angle_alpha 90.00
_cell_angle_beta 108.26
_cell_angle_gamma 90.00
_symmetry_space_group_name_H-M 'C 1 2/m 1'
_symmetry_Int_Tables_number 12
loop_
_symmetry_equiv_pos_as_xyz
'x,y,z'
'-x,-y,-z'
'-x,y,-z'
'x,-y,z'
'x+1/2,y+1/2,z'
'-x+1/2,-y+1/2,-z'
'-x+1/2,y+1/2,-z'
'x+1/2,-y+1/2,z'
loop_
_atom_site_label
_atom_site_type_symbol
_atom_site_fract_x
_atom_site_fract_y
_atom_site_fract_z
_atom_site_occupancy
Zr1 Zr 0.243 0.000 0.231 1
Co1 Co 0.000 0.500 0.000 1
As1 As 0.000 0.000 0.500 1
```

Values from the calculation:
The energy of formation from the pure elements is -2.04 eV/f.u.


Entry 2:
## Ce3Er2In6 (PBE)

Data for a relaxed structure of Ce3Er2In6.

The structure in CIF format:
```
data_Ce3Er2In6
_cell_length_a 5.878
_cell_length_b 5.878
_cell_length_c 22.067
_cell_angle_alpha 90.00
_cell_angle_beta 90.00
_cell_angle_gamma 90.00
_symmetry_space_group_name_H-M 'I 4/m m m'
_symmetry_Int_Tables_number 139
_symmetry_space_group_name_Hall '-I 4 2'
loop_
_atom_site_label
_atom_site_type_symbol
_atom_site_fract_x
_atom_site_fract_y
_atom_site_fract_z
_atom_site_occupancy
Ce1 Ce 0.000 0.000 0.000 1
Ce2 Ce 0.000 0.000 0.141 1
Er1 Er 0.000 0.000 0.425 1
In1 In 0.000 0.000 0.287 1
In2 In 0.000 0.500 0.069 1
```

Values from the calculation:
The energy of formation from the pure elements is 1.06 eV/f.u.


Entry 3:
## Tm5CoAu (PBE)

Data for a relaxed structure of Tm5CoAu.

The structure in CIF format:
```
data_Tm5CoAu
_cell_length_a 11.315
_cell_length_b 6.837
_cell_length_c 10.434
_cell_angle_alpha 90.00
_cell_angle_beta 113.26
_cell_angle_gamma 90.00
_symmetry_space_group_name_H-M 'C 1 2/c 1'
_symmetry_Int_Tables_number 15
loop_
_symmetry_equiv_pos_as_xyz
'x,y,z'
'-x,-y,-z'
'-x,y,-z+1/2'
'x,-y,z+1/2'
'x+1/2,y+1/2,z'
'-x+1/2,-y+1/2,-z'
'-x+1/2,y+1/2,-z+1/2'
'x+1/2,-y+1/2,z+1/2'
loop_
_atom_site_label
_atom_site_type_symbol
_atom_site_fract_x
_atom_site_fract_y
_atom_site_fract_z
_atom_site_occupancy
Tm1 Tm 0.000 0.047 0.250 1
Tm2 Tm 0.110 0.331 0.014 1
Tm3 Tm 0.217 0.166 0.637 1
Co1 Co 0.000 0.000 0.000 1
Au1 Au 0.000 0.473 0.250 1
```

Values from the calculation:
The energy of formation from the pure elements is -1.52 eV/f.u.


Entry 4:
## NdReB2 (PBE)

Data for a relaxed structure of NdReB2.

The structure in CIF format:
```
data_NdReB2
_cell_length_a 3.4275
_cell_length_b 3.4275
_cell_length_c 17.2451
_cell_angle_alpha 90.00
_cell_angle_beta 90.00
_cell_angle_gamma 120.00
_symmetry_space_group_name_H-M 'R -3 m'
_symmetry_Int_Tables_number 166
_symmetry_space_group_name_Hall '-R 3 2"'
loop_
_atom_site_label
_atom_site_type_symbol
_atom_site_fract_x
_atom_site_fract_y
_atom_site_fract_z
_atom_site_occupancy
Nd1 Nd 0.0000 0.0000 0.0000 1
Re1 Re 0.0000 0.0000 0.5000 1
B1 B 0.0000 0.0000 0.2257 1
```

Values from the calculation:
The energy of formation from the pure elements is 0.18 eV/f.u.


Entry 5:
## Na2Hg3Au (PBE)

Data for a relaxed structure of Na2Hg3Au.

The structure in CIF format:
```
data_Na2Hg3Au
_cell_length_a 6.617
_cell_length_b 10.095
_cell_length_c 17.289
_cell_angle_alpha 90.00
_cell_angle_beta 90.00
_cell_angle_gamma 90.00
_symmetry_space_group_name_H-M 'F m m m'
_symmetry_Int_Tables_number 69
_symmetry_space_group_name_Hall '-F 2 2'
loop_
_atom_site_label
_atom_site_type_symbol
_atom_site_fract_x
_atom_site_fract_y
_atom_site_fract_z
_atom_site_occupancy
Na1 Na 0.248 0.000 0.000 1
Na2 Na 0.250 0.250 0.250 1
Hg1 Hg 0.000 0.000 0.330 1
Hg2 Hg 0.000 0.246 0.085 1
Au1 Au 0.000 0.000 0.165 1
```

Values from the calculation:
The energy of formation from the pure elements is -1.43 eV/f.u.


Entry 6:
## YHf3As (PBE)

Data for a relaxed structure of YHf3As.

The structure in CIF format:
```
data_YHf3As
_cell_length_a 5.048
_cell_length_b 5.048
_cell_length_c 5.048
_cell_angle_alpha 90.00
_cell_angle_beta 90.00
_cell_angle_gamma 90.00
_symmetry_space_group_name_H-M 'P m -3 m'
_symmetry_Int_Tables_number 221
_symmetry_space_group_name_Hall '-P 4 2 3'
loop_
_atom_site_label
_atom_site_type_symbol
_atom_site_fract_x
_atom_site_fract_y
_atom_site_fract_z
_atom_site_occupancy
Y1 Y 0.000 0.000 0.000 1
Hf1 Hf 0.000 0.500 0.500 1
As1 As 0.500 0.500 0.500 1
```

Values from the calculation:
The energy of formation from the pure elements is -0.05 eV/f.u.


Entry 7:
## PrDy3Ni (PBE)

Data for a relaxed structure of PrDy3Ni.

The structure in CIF format:
```
data_PrDy3Ni
_cell_length_a 5.340
_cell_length_b 5.340
_cell_length_c 5.340
_cell_angle_alpha 90.00
_cell_angle_beta 90.00
_cell_angle_gamma 90.00
_symmetry_space_group_name_H-M 'P m -3 m'
_symmetry_Int_Tables_number 221
_symmetry_space_group_name_Hall '-P 4 2 3'
loop_
_atom_site_label
_atom_site_type_symbol
_atom_site_fract_x
_atom_site_fract_y
_atom_site_fract_z
_atom_site_occupancy
Pr1 Pr 0.000 0.000 0.000 1
Dy1 Dy 0.000 0.500 0.500 1
Ni1 Ni 0.500 0.500 0.500 1
```

Values from the calculation:
The energy of formation from the pure elements is -0.38 eV/f.u.


Entry 8:
## KFeSi (PBE)

Data for a relaxed structure of KFeSi.

The structure in CIF format:
```
data_KFeSi
_cell_length_a 7.053
_cell_length_b 7.053
_cell_length_c 7.053
_cell_angle_alpha 90.00
_cell_angle_beta 90.00
_cell_angle_gamma 90.00
_symmetry_space_group_name_H-M 'F -4 3 m'
_symmetry_Int_Tables_number 216
_symmetry_space_group_name_Hall 'F -4 2 3'
loop_
_atom_site_label
_atom_site_type_symbol
_atom_site_fract_x
_atom_site_fract_y
_atom_site_fract_z
_atom_site_occupancy
K1 K 0.000 0.000 0.000 1
Fe1 Fe 0.250 0.250 0.750 1
Si1 Si 0.250 0.250 0.250 1
```

Values from the calculation:
The calculation puts the uncorrected formation energy at 1.842 eV/atom.


Entry 9:
## Ca3SbS (PBE)

Data for a relaxed structure of Ca3SbS.

The structure in CIF format:
```
data_Ca3SbS
_cell_length_a 5.287
_cell_length_b 5.287
_cell_length_c 5.287
_cell_angle_alpha 90.00
_cell_angle_beta 90.00
_cell_angle_gamma 90.00
_symmetry_space_group_name_H-M 'P m -3 m'
_symmetry_Int_Tables_number 221
_symmetry_space_group_name_Hall '-P 4 2 3'
loop_
_atom_site_label
_atom_site_type_symbol
_atom_site_fract_x
_atom_site_fract_y
_atom_site_fract_z
_atom_site_occupancy
Ca1 Ca 0.000 0.000 0.500 1
Sb1 Sb 0.500 0.500 0.500 1
S1 S 0.000 0.000 0.000 1
```

Values from the calculation:
The calculation puts the uncorrected formation energy at -1.117 eV/atom.


Entry 10:
## Ba3Ac3PrS8 (PBE)

Data for a relaxed structure of Ba3Ac3PrS8.

The structure in CIF format:
```
data_Ba3Ac3PrS8
_cell_length_a 8.7094
_cell_length_b 8.7094
_cell_length_c 21.9973
_cell_angle_alpha 90.00
_cell_angle_beta 90.00
_cell_angle_gamma 120.00
_symmetry_space_group_name_H-M 'R -3 m'
_symmetry_Int_Tables_number 166
_symmetry_space_group_name_Hall '-R 3 2"'
loop_
_atom_site_label
_atom_site_type_symbol
_atom_site_fract_x
_atom_site_fract_y
_atom_site_fract_z
_atom_site_occupancy
Ba1 Ba 0.0000 0.5000 0.0000 1
Ac1 Ac 0.0000 0.5000 0.5000 1
Pr1 Pr 0.0000 0.0000 0.5000 1
S1 S 0.0000 0.0000 0.2443 1
S2 S 0.0125 0.5062 0.2398 1
```

Values from the calculation:
The calculation puts the uncorrected formation energy at -2.064 eV/atom.


Entry 11:
## Er4TlGaN (PBE)

Data for a relaxed structure of Er4TlGaN.

The structure in CIF format:
```
data_Er4TlGaN
_cell_length_a 6.582
_cell_length_b 15.321
_cell_length_c 6.588
_cell_angle_alpha 90.00
_cell_angle_beta 90.00
_cell_angle_gamma 90.00
_symmetry_space_group_name_H-M 'C m c m'
_symmetry_Int_Tables_number 63
_symmetry_space_group_name_Hall '-C 2c 2'
loop_
_atom_site_label
_atom_site_type_symbol
_atom_site_fract_x
_atom_site_fract_y
_atom_site_fract_z
_atom_site_occupancy
Er1 Er 0.000 0.080 0.250 1
Er2 Er 0.000 0.412 0.250 1
Er3 Er 0.250 0.250 0.000 1
Tl1 Tl 0.000 0.389 0.750 1
Ga1 Ga 0.000 0.118 0.750 1
N1 N 0.000 0.250 0.250 1
```

Values from the calculation:
The calculation puts the uncorrected formation energy at -0.752 eV/atom.


Entry 12:
## Ac6HIr2I3 (PBE)

Data for a relaxed structure of Ac6HIr2I3.

The structure in CIF format:
```
data_Ac6HIr2I3
_cell_length_a 7.552
_cell_length_b 13.066
_cell_length_c 9.018
_cell_angle_alpha 90.00
_cell_angle_beta 106.27
_cell_angle_gamma 90.00
_symmetry_space_group_name_H-M 'C 1 2/m 1'
_symmetry_Int_Tables_number 12
loop_
_symmetry_equiv_pos_as_xyz
'x,y,z'
'-x,-y,-z'
'-x,y,-z'
'x,-y,z'
'x+1/2,y+1/2,z'
'-x+1/2,-y+1/2,-z'
'-x+1/2,y+1/2,-z'
'x+1/2,-y+1/2,z'
loop_
_atom_site_label
_atom_site_type_symbol
_atom_site_fract_x
_atom_site_fract_y
_atom_site_fract_z
_atom_site_occupancy
Ac1 Ac 0.221 0.000 0.185 1
Ac2 Ac 0.231 0.330 0.184 1
H1 H 0.000 0.500 0.000 1
Ir1 Ir 0.000 0.166 0.000 1
I1 I 0.000 0.000 0.500 1
I2 I 0.000 0.331 0.500 1
```

Values from the calculation:
The raw total energy is -122.46 eV per cell.